Computed, not measured: an optimized crystal structure of TiNi2W2 at the GGA-PBE level of DFT.

Computed properties:
The uncorrected energy comes out at -89.60 eV/cell. As for the space group: P4/mbm, No. 127. Its crystal system is tetragonal.

Unit cell a=7.307 b=7.307 c=2.685 alpha=90.00 beta=90.00 gamma=90.00
Sites, in units of the cell vectors:
W 0.322 0.178 0.500
Ni 0.118 0.382 0.000
W 0.678 0.822 0.500
W 0.822 0.322 0.500
Ti 0.000 0.000 0.000
Ni 0.382 0.882 0.000
Ni 0.882 0.618 0.000
W 0.178 0.678 0.500
Ti 0.500 0.500 0.000
Ni 0.618 0.118 0.000

Computed, not measured: an optimized crystal structure of Ca3Ag3Au at the GGA-PBE level of DFT.

Computed properties:
The uncorrected energy comes out at -41.48 eV/cell. As for the space group: C2/m, No. 12. Its crystal system is monoclinic.

Unit cell a=4.247 b=5.894 c=15.538 alpha=83.54 beta=82.14 gamma=68.88
Sites, in units of the cell vectors:
Ag 0.137 0.258 0.468
Au 0.225 0.921 0.628
Ag 0.106 0.864 0.924
Ca 0.521 0.342 0.616
Ca 0.389 0.297 0.925
Ca 0.611 0.703 0.075
Ag 0.989 0.798 0.225
Ca 0.479 0.658 0.384
Ca 0.733 0.767 0.767
Ag 0.011 0.202 0.775
Au 0.775 0.079 0.372
Ag 0.894 0.136 0.076
Ca 0.267 0.233 0.233
Ag 0.863 0.742 0.532

Computed, not measured: an optimized crystal structure of TiVMoPd at the GGA-PBE level of DFT.

Computed properties:
The uncorrected energy comes out at -33.07 eV/cell. As for the space group: I4mm, No. 107. Its crystal system is tetragonal.

Unit cell a=3.078 b=3.078 c=7.414 alpha=101.98 beta=101.98 gamma=90.00
Sites, in units of the cell vectors:
Mo 0.565 0.565 0.130
V 0.160 0.160 0.321
Ti 0.949 0.949 0.899
Pd 0.337 0.337 0.675

Computed, not measured: an optimized crystal structure of BaCa2Zn at the GGA-PBE level of DFT.

Computed properties:
The uncorrected energy comes out at -11.20 eV/cell. As for the space group: I4_1/amd, No. 141. Its crystal system is tetragonal.

Unit cell a=6.840 b=6.840 c=10.453 alpha=70.90 beta=70.90 gamma=90.00
Sites, in units of the cell vectors:
Ca 0.376 0.125 0.250
Ca 0.875 0.626 0.750
Ca 0.375 0.624 0.750
Ca 0.374 0.625 0.250
Zn 0.250 0.750 0.500
Ba 0.000 0.000 0.000
Ba 0.750 0.250 0.500
Zn 0.500 0.500 0.000

| no. | formation enthalpy at 0 K (meV/atom) |
| --- | --- |
| 1 | 113 |
| 2 | -415 |
| 3 | -8 |
| 4 | 400 |